The following is a PBE+U calculation of an optimized crystal structure of CoReP2O, from Alexandria via LeMat-Bulk.

Calculated total energy = -30.502 eV per cell
N(E_F) = 3.00 states/eV/f.u.
E above lowest polymorph = 0 meV per atom

Structure (extended XYZ):
```
5
Lattice="-2.2516 -3.4619 2.2830 1.4582 -3.0929 -3.2519 3.0170 -0.6576 1.9783" Properties=species:S:1:pos:R:3 pbc="T T T"
Re 0.0000 0.0000 0.0000
Co 1.1118 -3.6062 0.5047
O 1.5085 -0.3288 0.9892
P 0.7291 -1.5464 -1.6259
P -1.1258 -1.7310 1.1415
```